No. 1
BaLi2ZnNi after structural relaxation, computed with GGA-PBE.

Summary:
Energy above the most stable polymorph in this dataset   72.6 meV per atom
Energy of formation   0.475 eV/f.u.
M_tot   0.00 μB/f.u.

Cell: 4.904 4.904 4.820 Å, 90.00 90.00 90.00°
Atoms (fractional coordinates):
Li (0.500, 0.000, 0.000)
Li (0.000, 0.500, 0.000)
Ni (0.000, 0.000, 0.500)
Zn (0.000, 0.000, 0.000)
Ba (0.500, 0.500, 0.500)

***

No. 2
BaLiNp2O8 after structural relaxation, computed with GGA-PBE.

Summary:
Formation energy (no corrections)   -2.6166 eV per atom
M_tot   1.00 μB/f.u.

Cell: 5.333 5.347 7.065 Å, 88.40 88.38 84.62°
Atoms (fractional coordinates):
Np (0.502, 0.501, 0.241)
Np (0.498, 0.499, 0.759)
Li (0.000, 0.000, 0.000)
O (0.657, 0.660, 0.520)
O (0.764, 0.236, 0.223)
O (0.662, 0.664, 0.013)
O (0.766, 0.239, 0.776)
O (0.236, 0.764, 0.777)
O (0.234, 0.761, 0.224)
O (0.343, 0.340, 0.480)
O (0.338, 0.336, 0.987)
Ba (0.000, 0.000, 0.500)

***

No. 3
BaLi2NpO6 after structural relaxation, computed with GGA-PBE.

Summary:
Formation energy (no corrections)   -2.3348 eV per atom
M_tot   0.76 μB/f.u.

Cell: 5.397 5.398 6.858 Å, 89.98 113.18 119.99°
Atoms (fractional coordinates):
Ba (0.997, 0.498, 0.480)
O (0.186, 0.249, 0.802)
O (0.880, 0.630, 0.802)
O (0.567, 0.936, 0.801)
O (0.113, 0.366, 0.159)
O (0.427, 0.060, 0.159)
O (0.807, 0.746, 0.159)
Np (0.997, 0.998, 0.980)
Li (0.362, 0.681, 0.029)
Li (0.631, 0.315, 0.932)

***

No. 4
Ba3LiNp2O9 after structural relaxation, computed with GGA-PBE.

Summary:
Formation energy (no corrections)   -2.8530 eV per atom
M_tot   3.00 μB/f.u.

Cell: 6.066 6.066 7.513 Å, 90.00 90.00 120.00°
Atoms (fractional coordinates):
O (0.500, 0.500, 0.000)
O (0.653, 0.826, 0.326)
O (0.000, 0.500, 0.000)
O (0.174, 0.826, 0.326)
O (0.826, 0.174, 0.674)
O (0.826, 0.653, 0.674)
O (0.347, 0.174, 0.674)
O (0.500, 0.000, 0.000)
O (0.174, 0.347, 0.326)
Np (0.333, 0.667, 0.172)
Np (0.667, 0.333, 0.828)
Li (0.000, 0.000, 0.500)
Ba (0.333, 0.667, 0.645)
Ba (0.000, 0.000, 0.000)
Ba (0.667, 0.333, 0.355)

***

Which uncorrected energy belongs to each record? In order, -2.47, -8.40, -7.18, -8.07 eV per atom.